Record 1
First-principles (GGA-PBE) data for crystalline Fe2MoHPt at its relaxed geometry, as listed in the Alexandria database.

Properties
- crystal system = tetragonal
- space-group type = P4/mmm, No. 123

The structure in extended XYZ format:
```
5
Lattice="3.832 0.000 0.000 0.000 3.832 0.000 0.000 0.000 3.723" Properties=species:S:1:pos:R:3 pbc="T T T"
H 0.000 0.000 0.000
Mo 1.916 1.916 1.862
Fe 0.000 1.916 0.000
Fe 1.916 0.000 0.000
Pt 0.000 0.000 1.862
```

***

Record 2
First-principles (GGA-PBE) data for crystalline Fe2MoHPt at its relaxed geometry, as listed in the Alexandria database.

Properties
- crystal system = tetragonal
- space-group type = P4/mmm, No. 123

The structure in extended XYZ format:
```
5
Lattice="-2.286 2.964 -0.506 -0.715 0.082 3.708 2.924 2.342 0.512" Properties=species:S:1:pos:R:3 pbc="T T T"
H 0.000 0.000 0.000
Mo 1.462 1.171 0.256
Fe -0.358 0.041 1.854
Fe -1.143 1.482 -0.253
Pt -0.038 2.694 1.857
```

***

no.,final energy (eV/atom),density of states at the Fermi level (states/eV/atom)
1,-7.380,0.5738
2,-7.427,0.7471